Th2MnB3Pt12 | Alexandria | PBE-GGA | relaxed; magnetization = 3.7 μB per formula unit; E_form = -0.49 eV/atom; crystal system = trigonal
1.0
-2.740 4.811 4.987
-6.314 -2.046 3.387
0.627 -1.995 7.152
Th Pt Mn B
2 12 1 3
Direct
0.608 0.608 0.608 Th
0.392 0.392 0.392 Th
0.384 0.876 0.876 Pt
0.673 0.673 0.090 Pt
0.910 0.327 0.327 Pt
0.327 0.910 0.327 Pt
0.090 0.673 0.673 Pt
0.876 0.384 0.876 Pt
0.876 0.876 0.384 Pt
0.124 0.616 0.124 Pt
0.616 0.124 0.124 Pt
0.673 0.090 0.673 Pt
0.124 0.124 0.616 Pt
0.327 0.327 0.910 Pt
0.000 0.000 0.000 Mn
0.500 0.000 0.000 B
0.000 0.000 0.500 B
0.000 0.500 0.000 B